A relaxed structure of Sm, computed with GGA-PBE.

Cell: 3.6436 3.6436 11.7317 Å, 90.00 90.00 120.00°
With the nearest neighbours (Å) after each atom.
Space group P6_3/mmc (No. 194)
Symmetry-distinct sites (fractional):
Sm (0.0000, 0.0000, 0.0000) [2 per cell]  12 Sm 3.61-3.64
Sm (0.3333, 0.6667, 0.2500) [2 per cell]  12 Sm 3.61-3.64

Results
The total energy is -18.88 eV per cell. Its energy above the most stable polymorph in this dataset is 0 meV per atom.